Below is EuMgH2 after structural relaxation, with properties calculated at the PBE-GGA level.

extended XYZ file:
```
4
Lattice="1.6968 0.9797 6.2758 -1.6968 0.9797 6.2758 0.0000 -1.9593 6.2758" Properties=species:S:1:pos:R:3 pbc="T T T"
Eu 0.0000 0.0000 0.0000
Mg 0.0000 0.0000 9.4138
H 0.0000 0.0000 2.3266
H 0.0000 0.0000 16.5009
```

Calculated values
Calculated density: 4.730 g/cm³
Magnetic moment: 8.16 μB/f.u.
E_tot: -4.657 eV per atom
Symmetry: R-3m, No. 166